Record 1
## NbMoN2 (GGA-PBE)

Data for a relaxed structure of NbMoN2.

The crystal system is tetragonal. The polymorph energy (0 for the lowest one) is 235.4 meV/atom. Its formation energy without anion corrections is -0.35 eV/atom. As for the volume: 13.206 Å³/atom.

```
data_NbMoN2
_symmetry_space_group_name_H-M 'I -4 2 d'
_symmetry_Int_Tables_number 122
_symmetry_space_group_name_Hall 'I -4 2bw'
_cell_length_a 4.676
_cell_length_b 4.676
_cell_length_c 9.666
_cell_angle_alpha 90.00
_cell_angle_beta 90.00
_cell_angle_gamma 90.00
loop_
_atom_site_label
_atom_site_type_symbol
_atom_site_fract_x
_atom_site_fract_y
_atom_site_fract_z
Nb1 Nb 0.000 0.000 0.000
Mo1 Mo 0.000 0.000 0.500
N1 N 0.241 0.250 0.625
```

---

Record 2
## ZnCuTc (GGA-PBE)

Data for a relaxed structure of ZnCuTc.

The crystal system is orthorhombic. The polymorph energy (0 for the lowest one) is 87.8 meV/atom. As for the volume: 13.605 Å³/atom. The energy of formation comes out at 0.0567 eV per atom.

```
data_ZnCuTc
_symmetry_space_group_name_H-M 'C m c m'
_symmetry_Int_Tables_number 63
_symmetry_space_group_name_Hall '-C 2c 2'
_cell_length_a 2.601
_cell_length_b 14.190
_cell_length_c 4.423
_cell_angle_alpha 90.00
_cell_angle_beta 90.00
_cell_angle_gamma 90.00
loop_
_atom_site_label
_atom_site_type_symbol
_atom_site_fract_x
_atom_site_fract_y
_atom_site_fract_z
Zn1 Zn 0.000 0.214 0.250
Cu1 Cu 0.000 0.121 0.750
Tc1 Tc 0.000 0.455 0.750
```

---

Record 3
## Ca3MgIn2 (GGA-PBE)

Data for a relaxed structure of Ca3MgIn2.

The crystal system is orthorhombic. As for the volume: 29.236 Å³/atom. The energy of formation comes out at -0.3534 eV per atom.

```
data_Ca3MgIn2
_symmetry_space_group_name_H-M 'C m m m'
_symmetry_Int_Tables_number 65
_symmetry_space_group_name_Hall '-C 2 2'
_cell_length_a 5.434
_cell_length_b 16.374
_cell_length_c 3.943
_cell_angle_alpha 90.00
_cell_angle_beta 90.00
_cell_angle_gamma 90.00
loop_
_atom_site_label
_atom_site_type_symbol
_atom_site_fract_x
_atom_site_fract_y
_atom_site_fract_z
Ca1 Ca 0.000 0.000 0.000
Ca2 Ca 0.000 0.328 0.000
Mg1 Mg 0.000 0.500 0.500
In1 In 0.000 0.160 0.500
```

---

Record 4
## CaPrGdRu (GGA-PBE)

Data for a relaxed structure of CaPrGdRu.

The crystal system is cubic. As for the volume: 25.752 Å³/atom. The energy of formation comes out at 0.1178 eV per atom.

```
data_CaPrGdRu
_symmetry_space_group_name_H-M 'F -4 3 m'
_symmetry_Int_Tables_number 216
_symmetry_space_group_name_Hall 'F -4 2 3'
_cell_length_a 7.441
_cell_length_b 7.441
_cell_length_c 7.441
_cell_angle_alpha 90.00
_cell_angle_beta 90.00
_cell_angle_gamma 90.00
loop_
_atom_site_label
_atom_site_type_symbol
_atom_site_fract_x
_atom_site_fract_y
_atom_site_fract_z
Ca1 Ca 0.000 0.000 0.000
Pr1 Pr 0.250 0.250 0.250
Gd1 Gd 0.250 0.250 0.750
Ru1 Ru 0.000 0.000 0.500
```

---

Record 5
## Pm3BiRu (GGA-PBE)

Data for a relaxed structure of Pm3BiRu.

The crystal system is cubic. The polymorph energy (0 for the lowest one) is 230.7 meV/atom. As for the volume: 31.843 Å³/atom. The energy of formation comes out at -0.3155 eV per atom.

```
data_Pm3BiRu
_symmetry_space_group_name_H-M 'P m -3 m'
_symmetry_Int_Tables_number 221
_symmetry_space_group_name_Hall '-P 4 2 3'
_cell_length_a 5.420
_cell_length_b 5.420
_cell_length_c 5.420
_cell_angle_alpha 90.00
_cell_angle_beta 90.00
_cell_angle_gamma 90.00
loop_
_atom_site_label
_atom_site_type_symbol
_atom_site_fract_x
_atom_site_fract_y
_atom_site_fract_z
Pm1 Pm 0.000 0.000 0.500
Bi1 Bi 0.500 0.500 0.500
Ru1 Ru 0.000 0.000 0.000
```

---

Record 6
## BeSbAs2 (GGA-PBE)

Data for a relaxed structure of BeSbAs2.

The crystal system is orthorhombic. The polymorph energy (0 for the lowest one) is 297.3 meV/atom. Its formation energy without anion corrections is 0.33 eV/atom. As for the volume: 19.690 Å³/atom.

```
data_BeSbAs2
_symmetry_space_group_name_H-M 'C m m m'
_symmetry_Int_Tables_number 65
_symmetry_space_group_name_Hall '-C 2 2'
_cell_length_a 3.767
_cell_length_b 4.868
_cell_length_c 8.591
_cell_angle_alpha 90.00
_cell_angle_beta 90.00
_cell_angle_gamma 90.00
loop_
_atom_site_label
_atom_site_type_symbol
_atom_site_fract_x
_atom_site_fract_y
_atom_site_fract_z
Be1 Be 0.000 0.000 0.000
Sb1 Sb 0.000 0.000 0.500
As1 As 0.000 0.500 0.164
```

---

Record 7
## Rb3Y2TmO6 (GGA-PBE)

Data for a relaxed structure of Rb3Y2TmO6.

The crystal system is monoclinic. Its formation energy without anion corrections is -2.70 eV/atom. As for the volume: 17.353 Å³/atom.

```
data_Rb3Y2TmO6
_symmetry_space_group_name_H-M 'C 1 2/m 1'
_symmetry_Int_Tables_number 12
_symmetry_space_group_name_Hall '-C 2y'
_cell_length_a 6.056
_cell_length_b 10.489
_cell_length_c 6.861
_cell_angle_alpha 90.00
_cell_angle_beta 107.11
_cell_angle_gamma 90.00
loop_
_atom_site_label
_atom_site_type_symbol
_atom_site_fract_x
_atom_site_fract_y
_atom_site_fract_z
Rb1 Rb 0.000 0.000 0.000
Rb2 Rb 0.000 0.334 0.000
Y1 Y 0.000 0.167 0.500
Tm1 Tm 0.000 0.500 0.500
O1 O 0.223 0.336 0.675
O2 O 0.230 0.000 0.675
```

---

Record 8
## Dy4TcI5 (GGA-PBE)

Data for a relaxed structure of Dy4TcI5.

The crystal system is monoclinic. Its formation energy without anion corrections is -0.95 eV/atom. As for the volume: 35.706 Å³/atom.

```
data_Dy4TcI5
_symmetry_space_group_name_H-M 'C 1 2/m 1'
_symmetry_Int_Tables_number 12
_symmetry_space_group_name_Hall '-C 2y'
_cell_length_a 19.511
_cell_length_b 3.988
_cell_length_c 9.442
_cell_angle_alpha 90.00
_cell_angle_beta 103.58
_cell_angle_gamma 90.00
loop_
_atom_site_label
_atom_site_type_symbol
_atom_site_fract_x
_atom_site_fract_y
_atom_site_fract_z
Dy1 Dy 0.000 0.000 0.220
Dy2 Dy 0.135 0.500 0.069
Tc1 Tc 0.000 0.500 0.000
I1 I 0.000 0.500 0.500
I2 I 0.167 0.000 0.331
I3 I 0.172 0.000 0.839
```

---

Record 9
## Sm2RhPb (GGA-PBE)

Data for a relaxed structure of Sm2RhPb.

The crystal system is cubic. The polymorph energy (0 for the lowest one) is 161.0 meV/atom. As for the volume: 25.633 Å³/atom. The energy of formation comes out at -0.4653 eV per atom.

```
data_Sm2RhPb
_symmetry_space_group_name_H-M 'F m -3 m'
_symmetry_Int_Tables_number 225
_symmetry_space_group_name_Hall '-F 4 2 3'
_cell_length_a 7.430
_cell_length_b 7.430
_cell_length_c 7.430
_cell_angle_alpha 90.00
_cell_angle_beta 90.00
_cell_angle_gamma 90.00
loop_
_atom_site_label
_atom_site_type_symbol
_atom_site_fract_x
_atom_site_fract_y
_atom_site_fract_z
Sm1 Sm 0.250 0.250 0.250
Rh1 Rh 0.000 0.000 0.000
Pb1 Pb 0.000 0.000 0.500
```

---

Record 10
## Li3Er3Tl2 (GGA-PBE)

Data for a relaxed structure of Li3Er3Tl2.

The crystal system is trigonal. As for the volume: 24.049 Å³/atom. The energy of formation comes out at -0.1816 eV per atom.

```
data_Li3Er3Tl2
_symmetry_space_group_name_H-M 'R 3 m'
_symmetry_Int_Tables_number 160
_symmetry_space_group_name_Hall 'R 3 -2"'
_cell_length_a 5.1351
_cell_length_b 5.1351
_cell_length_c 25.2748
_cell_angle_alpha 90.00
_cell_angle_beta 90.00
_cell_angle_gamma 120.00
loop_
_atom_site_label
_atom_site_type_symbol
_atom_site_fract_x
_atom_site_fract_y
_atom_site_fract_z
Li1 Li 0.0000 0.0000 0.0000
Li2 Li 0.0000 0.0000 0.1152
Li3 Li 0.0000 0.0000 0.4848
Er1 Er 0.0000 0.0000 0.3628
Er2 Er 0.0000 0.0000 0.6128
Er3 Er 0.0000 0.0000 0.8640
Tl1 Tl 0.0000 0.0000 0.2319
Tl2 Tl 0.0000 0.0000 0.7405
```

---

Record 11
## VRhI (GGA-PBE)

Data for a relaxed structure of VRhI.

The crystal system is trigonal. The polymorph energy (0 for the lowest one) is 370.1 meV/atom. Its formation energy without anion corrections is 0.17 eV/atom. As for the volume: 21.869 Å³/atom.

```
data_VRhI
_symmetry_space_group_name_H-M 'R 3 m'
_symmetry_Int_Tables_number 160
_symmetry_space_group_name_Hall 'R 3 -2"'
_cell_length_a 3.5717
_cell_length_b 3.5717
_cell_length_c 17.8132
_cell_angle_alpha 90.00
_cell_angle_beta 90.00
_cell_angle_gamma 120.00
loop_
_atom_site_label
_atom_site_type_symbol
_atom_site_fract_x
_atom_site_fract_y
_atom_site_fract_z
V1 V 0.0000 0.0000 0.0000
Rh1 Rh 0.0000 0.0000 0.4002
I1 I 0.0000 0.0000 0.5572
```

---

Record 12
## LiCrIr2 (GGA-PBE)

Data for a relaxed structure of LiCrIr2.

The crystal system is orthorhombic. As for the volume: 13.841 Å³/atom. The energy of formation comes out at 0.0732 eV per atom.

```
data_LiCrIr2
_symmetry_space_group_name_H-M 'P m m m'
_symmetry_Int_Tables_number 47
_symmetry_space_group_name_Hall '-P 2 2'
_cell_length_a 2.850
_cell_length_b 4.280
_cell_length_c 4.539
_cell_angle_alpha 90.00
_cell_angle_beta 90.00
_cell_angle_gamma 90.00
loop_
_atom_site_label
_atom_site_type_symbol
_atom_site_fract_x
_atom_site_fract_y
_atom_site_fract_z
Li1 Li 0.000 0.000 0.000
Cr1 Cr 0.500 0.000 0.500
Ir1 Ir 0.000 0.500 0.500
Ir2 Ir 0.500 0.500 0.000
```

---

> What is the formula in the second record?

ZnCuTc